[1]
ReTcIr2 (GGA-PBE, relaxed); E_tot = -10.4170 eV/atom; size of the total moment = 0.00 μB/f.u.; space group = Pmm2
1.0
4.3842 0.0000 0.0000
0.0000 2.7405 -0.0031
0.0000 0.0052 4.8249
Ir Re Tc
2 1 1
Direct
0.5000 0.1250 0.2911
0.0000 0.1250 0.9565
0.0000 0.6250 0.4629
0.5000 0.6250 0.7895

=====

[2]
Re2Tc5Ir5 (GGA-PBE, relaxed); E_tot = -10.1983 eV/atom; size of the total moment = 0.00 μB/f.u.; space group = P-1
1.0
4.1816 -0.4675 2.2137
1.4542 3.3364 3.0555
2.5024 0.7532 13.9510
Tc Ir Re
5 5 2
Direct
0.8293 0.8323 0.5029
0.2534 0.7472 0.7483
0.1707 0.1677 0.4971
0.0000 0.0000 0.0000
0.7466 0.2528 0.2517
0.5000 0.5000 0.5000
0.5833 0.0855 0.7483
0.4167 0.9145 0.2517
0.6677 0.6693 0.0009
0.3323 0.3307 0.9991
0.0871 0.5843 0.2488
0.9129 0.4157 0.7512

=====

[3]
ReTcIr2 (GGA-PBE, relaxed); E_tot = -9.1193 eV/atom; size of the total moment = 0.00 μB/f.u.; space group = I-42d
1.0
5.5986 0.0000 0.0000
0.0000 5.5986 0.0000
2.7993 2.7993 5.5481
Re Ir Tc
2 4 2
Direct
0.0000 0.0000 0.0000
0.7500 0.2500 0.5000
0.6244 0.1250 0.2500
0.3750 0.3756 0.7500
0.8750 0.8744 0.7500
0.1256 0.6250 0.2500
0.5000 0.5000 0.0000
0.2500 0.7500 0.5000

=====

[4]
ReTcIr2 (GGA-PBE, relaxed); E_tot = -10.2989 eV/atom; size of the total moment = 0.00 μB/f.u.; space group = P4/mmm
1.0
-1.3744 3.2278 -1.5967
-3.3439 -0.5092 1.8491
1.3589 2.0773 3.0294
Ir Re Tc
2 1 1
Direct
0.0000 0.0000 0.0000
0.5000 0.5000 0.0000
0.5000 0.0000 0.5000
0.0000 0.5000 0.5000

=====

| no. | N(E_F) (states/eV/cell) | DFT formation energy (meV/atom) |
| --- | --- | --- |
| 1 | 2.8 | -282.9 |
| 2 | 13.1 | -112.3 |
| 3 | 8.8 | 1014.7 |
| 4 | 4.0 | -164.8 |